The following is a PBE calculation of crystalline Be2HW at its relaxed geometry, from Alexandria.

Cell: 3.845 3.845 3.845 Å, 60.00 60.00 60.00°
Fractional positions:
Be1 0.250 0.250 0.250
Be2 0.750 0.750 0.750
H1 0.000 0.000 0.000
W1 0.500 0.500 0.500

Output
* total energy: -4.772 eV per atom
* energy relative to the lowest polymorph listed for this composition: 1.014 eV/atom
* space group: Fm-3m